Density functional theory data (GGA-PBE) for a relaxed KSb2Pt2 crystal.

**VASP energy**: -44.94 eV for the cell shown
**E_form (uncorrected)**: -0.210 eV/atom

```
data_KSb2Pt2
_cell_length_a 8.540
_cell_length_b 8.540
_cell_length_c 3.103
_cell_angle_alpha 90.00
_cell_angle_beta 90.00
_cell_angle_gamma 90.00
_symmetry_space_group_name_H-M 'P 4/m b m'
_symmetry_Int_Tables_number 127
_symmetry_space_group_name_Hall '-P 4 2ab'
loop_
_atom_site_label
_atom_site_fract_x
_atom_site_fract_y
_atom_site_fract_z
K1 0.000 0.000 0.000
Sb1 0.141 0.359 0.000
Pt1 0.141 0.641 0.500
```

=====

Density functional theory data (GGA-PBE) for a relaxed NaYZr crystal.

**VASP energy**: -30.65 eV for the cell shown
**Formation energy**: 0.34 eV/atom
**Energy above the most stable polymorph in this dataset**: 241 meV per atom

```
data_NaYZr
_cell_length_a 6.189
_cell_length_b 3.293
_cell_length_c 8.370
_cell_angle_alpha 90.00
_cell_angle_beta 98.13
_cell_angle_gamma 90.00
_symmetry_space_group_name_H-M 'P 1 m 1'
_symmetry_Int_Tables_number 6
loop_
_symmetry_equiv_pos_as_xyz
'x,y,z'
'x,-y,z'
loop_
_atom_site_label
_atom_site_fract_x
_atom_site_fract_y
_atom_site_fract_z
Na1 0.000 0.000 0.000
Na2 0.022 0.500 0.320
Y1 0.245 0.000 0.666
Y2 0.506 0.500 0.015
Zr1 0.549 0.000 0.366
Zr2 0.706 0.500 0.659
```

=====

Density functional theory data (GGA-PBE) for a relaxed Zr4W5 crystal.

**VASP energy**: -189.68 eV for the cell shown
**Formation energy**: 0.46 eV/atom
**Energy above the most stable polymorph in this dataset**: 290 meV per atom

```
data_Zr4W5
_cell_length_a 8.4908
_cell_length_b 8.4908
_cell_length_c 5.4414
_cell_angle_alpha 90.00
_cell_angle_beta 90.00
_cell_angle_gamma 120.00
_symmetry_space_group_name_H-M 'P 63/m c m'
_symmetry_Int_Tables_number 193
_symmetry_space_group_name_Hall '-P 6c 2'
loop_
_atom_site_label
_atom_site_fract_x
_atom_site_fract_y
_atom_site_fract_z
Zr1 0.0000 0.0000 0.0000
Zr2 0.0000 0.3614 0.2500
W1 0.0000 0.3173 0.7500
W2 0.3333 0.6667 0.0000
```

=====

Density functional theory data (GGA-PBE) for a relaxed TaNb2Co2 crystal.

**VASP energy**: -93.04 eV for the cell shown
**Formation energy**: -0.06 eV/atom
**Energy above the most stable polymorph in this dataset**: 0 meV per atom

```
data_TaNb2Co2
_cell_length_a 7.006
_cell_length_b 7.006
_cell_length_c 3.102
_cell_angle_alpha 90.00
_cell_angle_beta 90.00
_cell_angle_gamma 90.00
_symmetry_space_group_name_H-M 'P 4/m b m'
_symmetry_Int_Tables_number 127
_symmetry_space_group_name_Hall '-P 4 2ab'
loop_
_atom_site_label
_atom_site_fract_x
_atom_site_fract_y
_atom_site_fract_z
Ta1 0.000 0.000 0.000
Nb1 0.174 0.326 0.500
Co1 0.126 0.626 0.000
```

=====

Density functional theory data (GGA-PBE) for a relaxed ZrTi2AuO crystal.

**VASP energy**: -38.89 eV for the cell shown
**E_form (uncorrected)**: -1.263 eV/atom
**Energy above the most stable polymorph in this dataset**: 0 meV per atom

```
data_ZrTi2AuO
_cell_length_a 4.149
_cell_length_b 4.149
_cell_length_c 4.477
_cell_angle_alpha 90.00
_cell_angle_beta 90.00
_cell_angle_gamma 90.00
_symmetry_space_group_name_H-M 'P 4/m m m'
_symmetry_Int_Tables_number 123
_symmetry_space_group_name_Hall '-P 4 2'
loop_
_atom_site_label
_atom_site_fract_x
_atom_site_fract_y
_atom_site_fract_z
Zr1 0.000 0.000 0.000
Ti1 0.000 0.500 0.500
Au1 0.500 0.500 0.000
O1 0.000 0.000 0.500
```

=====

Density functional theory data (GGA-PBE) for a relaxed MgTa2Co crystal.

**VASP energy**: -123.34 eV for the cell shown
**Formation energy**: 0.39 eV/atom

```
data_MgTa2Co
_cell_length_a 6.432
_cell_length_b 6.432
_cell_length_c 6.432
_cell_angle_alpha 90.00
_cell_angle_beta 90.00
_cell_angle_gamma 90.00
_symmetry_space_group_name_H-M 'F -4 3 m'
_symmetry_Int_Tables_number 216
_symmetry_space_group_name_Hall 'F -4 2 3'
loop_
_atom_site_label
_atom_site_fract_x
_atom_site_fract_y
_atom_site_fract_z
Mg1 0.000 0.000 0.000
Ta1 0.000 0.000 0.500
Ta2 0.250 0.250 0.750
Co1 0.250 0.250 0.250
```

=====

Question: Look up the VASP energy of the second one.
Answer: -30.65 eV for the cell shown